Entry 1:
Here is crystalline FeCoPCl2 at its relaxed geometry from the Alexandria database. Energies are from PBE.

Unit cell a=4.6347 b=4.6347 c=4.3585 alpha=90.00 beta=90.00 gamma=90.00
Fractional coordinates of all 5 atoms:
P 0.0000 0.0000 0.5000
Co 0.0000 0.0000 0.0000
Fe 0.5000 0.5000 0.5000
Cl 0.0000 0.5000 0.0000
Cl 0.5000 0.0000 0.0000

Output
The energy relative to the lowest polymorph listed for this composition is 0.00 kJ/mol of atoms. The energy relative to the elements, uncorrected is 0.529 eV per atom. Its total energy is -0.3238 Ry per atom. As for the space group: P4/mmm.


Entry 2:
Here is crystalline Zr3In at its relaxed geometry from the Alexandria database. Energies are from PBE.

Unit cell a=3.1928 b=5.4986 c=6.0975 alpha=116.80 beta=105.18 gamma=90.00
Fractional coordinates of all 4 atoms:
Zr 0.2569 0.5889 0.5137
Zr 0.5000 0.4935 0.0000
Zr 0.7431 0.0752 0.4863
In 0.0000 0.0090 0.0000

Output
The calculation puts the formation energy at -0.147 eV/atom. Its total energy is -0.5323 Ry per atom. As for the space group: Imm2.